No. 1
This record from Alexandria via LeMat-Bulk describes a relaxed structure of Rb2NiSb2. The functional is PBE.

Results
Formation energy (no corrections)   -0.1412 eV/atom
Density   5.25 g/cm3

a = 6.951 Å, b = 6.951 Å, c = 6.194 Å
α = 90.00°, β = 90.00°, γ = 90.00°
Atoms (fractional coordinates):
Rb  0.829  0.329  0.500
Rb  0.171  0.671  0.500
Rb  0.671  0.829  0.500
Rb  0.329  0.171  0.500
Sb  0.152  0.348  0.000
Sb  0.848  0.652  0.000
Sb  0.348  0.848  0.000
Sb  0.652  0.152  0.000
Ni  0.500  0.500  0.000
Ni  0.000  0.000  0.000



No. 2
This record from Alexandria via LeMat-Bulk describes a relaxed structure of Pu3Co. The functional is PBE.

Results
ΔE_f   0.312 eV/atom
Distance to the lowest polymorph of the same formula   0.205 eV per atom
Density   15.38 g/cm3

a = 3.875 Å, b = 4.138 Å, c = 5.326 Å
α = 90.00°, β = 90.00°, γ = 90.00°
Last column: magnetic moment on the atom in μB.
Atoms (fractional coordinates):
Pu  0.500  0.500  0.913  5.14
Pu  0.500  0.000  0.483  5.40
Pu  0.000  0.500  0.349  5.39
Co  0.000  0.000  0.921  -0.65



No. 3
This record from Alexandria via LeMat-Bulk describes a relaxed structure of LiFeCo. The functional is PBE.

Results
ΔE_f   0.236 eV/atom
Distance to the lowest polymorph of the same formula   0.111 eV per atom
Density   5.56 g/cm3

a = 6.448 Å, b = 6.448 Å, c = 6.448 Å
α = 158.38°, β = 158.38°, γ = 30.77°
Last column: magnetic moment on the atom in μB.
Atoms (fractional coordinates):
Li  0.664  0.664  0.000  -0.06
Co  0.996  0.996  0.000  1.68
Fe  0.340  0.340  0.000  2.53



no.,VASP energy (eV for the cell shown)
1,-33.33
2,-48.85
3,-16.77